TmCd5Hg4 | PBE | optimized geometry

Summary:
ΔE_f ... -1.1 eV/f.u.
Crystal system ... monoclinic
Density of states at the Fermi level ... 4.2 states/eV/f.u.

```
data_TmCd5Hg4
_chemical_formula_sum 'Tm2 Cd10 Hg8'
_cell_length_a 16.3890
_cell_length_b 4.9108
_cell_length_c 6.9411
_cell_angle_alpha 90.00
_cell_angle_beta 114.23
_cell_angle_gamma 90.00
_symmetry_space_group_name_H-M 'C 1 2/m 1'
_symmetry_Int_Tables_number 12
loop_
_symmetry_equiv_pos_as_xyz
'x,y,z'
'-x,-y,-z'
'-x,y,-z'
'x,-y,z'
'x+1/2,y+1/2,z'
'-x+1/2,-y+1/2,-z'
'-x+1/2,y+1/2,-z'
'x+1/2,-y+1/2,z'
loop_
_atom_site_label
_atom_site_fract_x
_atom_site_fract_y
_atom_site_fract_z
Tm1 0.0000 0.0000 0.0000
Cd1 0.0000 0.0000 0.5000
Cd2 0.1594 0.5000 0.1582
Cd3 0.1783 0.0000 0.4438
Hg1 0.0026 0.5000 0.2761
Hg2 0.1735 0.0000 0.9071
```